Entry 1:
The following is a PBE calculation of a relaxed structure of Li2CuO2, from Alexandria.

It has space group Immm (No. 71), with a = 2.905 Å, b = 3.735 Å, c = 9.336 Å, α = 90.00°, β = 90.00° and γ = 90.00°. The inequivalent atoms are Li at (0.000, 0.000, 0.208), Cu at (0.000, 0.000, 0.500) and O at (0.000, 0.500, 0.144).

The excess energy over the best structure of this formula in the dataset is 0 meV per atom.

---

Entry 2:
The following is a PBE calculation of a relaxed structure of LiCuO2, from Alexandria.

It has space group R3m (No. 160, hexagonal axes), with a = 2.9179 Å, b = 2.9179 Å, c = 15.0305 Å, α = 90.00°, β = 90.00° and γ = 120.00°. The inequivalent atoms are Li at (0.0000, 0.0000, 0.0000), Cu at (0.0000, 0.0000, 0.1727), O at (0.0000, 0.0000, 0.5806) and O at (0.0000, 0.0000, 0.7652).

---

Entry 3:
The following is a PBE calculation of a relaxed structure of Li5CuO3, from Alexandria.

It has space group C2/c (No. 15), with a = 10.462 Å, b = 5.106 Å, c = 7.031 Å, α = 90.00°, β = 109.62° and γ = 90.00°. The inequivalent atoms are Li at (0.000, 0.001, 0.250), Li at (0.158, 0.248, 0.079), Li at (0.158, 0.248, 0.579), Cu at (0.000, 0.500, 0.250), O at (0.000, 0.000, 0.000) and O at (0.186, 0.500, 0.343).

---

Entry 4:
The following is a PBE calculation of a relaxed structure of Li2CuO2, from Alexandria.

It has space group C2/m (No. 12), with a = 6.496 Å, b = 2.857 Å, c = 5.321 Å, α = 90.00°, β = 103.62° and γ = 90.00°. The inequivalent atoms are Li at (0.173, 0.000, 0.146), Cu at (0.000, 0.500, 0.500) and O at (0.105, 0.000, 0.757).

The excess energy over the best structure of this formula in the dataset is 33 meV per atom.

---

Entry 5:
The following is a PBE calculation of a relaxed structure of Li4Cu3O6, from Alexandria.

It has space group C2/m (No. 12), with a = 10.411 Å, b = 8.275 Å, c = 7.337 Å, α = 90.00°, β = 112.98° and γ = 90.00°. The inequivalent atoms are Li at (0.000, 0.183, 0.000), Li at (0.149, 0.000, 0.360), Li at (0.149, 0.338, 0.364), Cu at (0.132, 0.165, 0.739), Cu at (0.133, 0.500, 0.750), O at (0.042, 0.000, 0.823), O at (0.042, 0.327, 0.816), O at (0.215, 0.000, 0.647) and O at (0.221, 0.333, 0.661).

The excess energy over the best structure of this formula in the dataset is 11 meV per atom.

---

Entry 6:
The following is a PBE calculation of a relaxed structure of Li4Cu2O, from Alexandria.

It has space group I4/mmm (No. 139), with a = 3.545 Å, b = 3.545 Å, c = 14.942 Å, α = 90.00°, β = 90.00° and γ = 90.00°. The inequivalent atoms are Li at (0.000, 0.000, 0.129), Li at (0.000, 0.500, 0.000), Cu at (0.000, 0.000, 0.288) and O at (0.000, 0.000, 0.000).

---

Entry 7:
The following is a PBE calculation of a relaxed structure of LiCuO3, from Alexandria.

It has space group Pm-3m (No. 221), with a = 3.704 Å, b = 3.704 Å, c = 3.704 Å, α = 90.00°, β = 90.00° and γ = 90.00°. The inequivalent atoms are Li at (0.000, 0.000, 0.000), Cu at (0.500, 0.500, 0.500) and O at (0.000, 0.500, 0.500).

---

Entry 8:
The following is a PBE calculation of a relaxed structure of LiCuO2, from Alexandria.

It has space group R-3m (No. 166, hexagonal axes), with a = 2.9645 Å, b = 2.9645 Å, c = 16.7229 Å, α = 90.00°, β = 90.00° and γ = 120.00°. The inequivalent atoms are Li at (0.0000, 0.0000, 0.0000), Cu at (0.0000, 0.0000, 0.5000) and O at (0.0000, 0.0000, 0.1048).

---

Entry 9:
The following is a PBE calculation of a relaxed structure of Li3CuO3, from Alexandria.

It has space group C2/m (No. 12), with a = 6.459 Å, b = 8.532 Å, c = 5.254 Å, α = 90.00°, β = 97.88° and γ = 90.00°. The inequivalent atoms are Li at (0.000, 0.172, 0.000), Li at (0.000, 0.223, 0.500), Li at (0.149, 0.500, 0.923), Cu at (0.223, 0.500, 0.436), O at (0.112, 0.000, 0.259) and O at (0.127, 0.340, 0.231).

---

Entry 10:
The following is a PBE calculation of a relaxed structure of LiCuO2, from Alexandria.

It has space group P3m1 (No. 156), with a = 2.9684 Å, b = 2.9684 Å, c = 5.0905 Å, α = 90.00°, β = 90.00° and γ = 120.00°. The inequivalent atoms are Li at (0.0000, 0.0000, 0.0000), Cu at (0.3333, 0.6667, 0.4310), O at (0.0000, 0.0000, 0.6288) and O at (0.6667, 0.3333, 0.2033).

---

Entry 11:
The following is a PBE calculation of a relaxed structure of LiCu5O4, from Alexandria.

It has space group Pmmn (No. 59, origin choice 2), with a = 6.128 Å, b = 7.898 Å, c = 4.667 Å, α = 90.00°, β = 90.00° and γ = 90.00°. The inequivalent atoms are Li at (0.250, 0.250, 0.244), Cu at (0.050, 0.087, 0.759), Cu at (0.250, 0.750, 0.792), O at (0.008, 0.750, 0.526) and O at (0.250, 0.514, 0.040).

---

Entry 12:
The following is a PBE calculation of a relaxed structure of Li3Cu5O4, from Alexandria.

It has space group P2_1/c (No. 14), with a = 7.674 Å, b = 6.493 Å, c = 12.623 Å, α = 90.00°, β = 105.62° and γ = 90.00°. The inequivalent atoms are Li at (0.072, 0.127, 0.072), Li at (0.255, 0.698, 0.552), Li at (0.409, 0.111, 0.923), Cu at (0.036, 0.062, 0.413), Cu at (0.069, 0.679, 0.740), Cu at (0.328, 0.528, 0.884), Cu at (0.356, 0.125, 0.581), Cu at (0.456, 0.108, 0.225), O at (0.031, 0.663, 0.591), O at (0.130, 0.701, 0.893), O at (0.368, 0.082, 0.072) and O at (0.471, 0.640, 0.122).

---

In order of appearance, E_form (uncorrected) = -1374, -966, -1551, -1341, -1208, -610, -285, -787, -1193, -980, -549, -927 meV/atom.